The following is a DFT calculation (PBE) of ZrScAg2C after structural relaxation.

**ΔE_f**: 0.283 eV per atom
**Uncorrected energy**: -5.678 eV/atom
**V**: 88.42 Å³/f.u.

Cell: 4.410 4.410 4.547 Å, 90.00 90.00 90.00°
Positions (direct):
Zr1 0.000 0.000 0.000
Sc1 0.500 0.500 0.000
Ag1 0.000 0.500 0.500
Ag2 0.500 0.000 0.500
C1 0.000 0.000 0.500

The following is a DFT calculation (PBE) of Mg2TcP after structural relaxation.

**ΔE_f**: 0.040 eV per atom
**Uncorrected energy**: -4.701 eV/atom
**V**: 61.31 Å³/f.u.

Cell: 5.156 5.156 5.156 Å, 140.85 134.22 61.77°
Positions (direct):
Mg1 0.241 0.241 0.000
Mg2 0.759 0.759 0.000
Tc1 0.500 0.000 0.500
P1 0.000 0.500 0.500

The following is a DFT calculation (PBE) of CuIr after structural relaxation.

**ΔE_f**: 0.088 eV per atom
**Uncorrected energy**: -6.390 eV/atom
**V**: 27.01 Å³/f.u.

Cell: 5.072 5.072 6.391 Å, 105.22 105.22 30.81°
Positions (direct):
Cu1 0.000 0.000 0.000
Cu2 0.278 0.278 0.050
Cu3 0.616 0.616 0.738
Ir1 0.337 0.337 0.667
Ir2 0.666 0.666 0.335
Ir3 0.947 0.947 0.390

The following is a DFT calculation (PBE) of TiNiP2 after structural relaxation.

**ΔE_f**: -0.424 eV per atom
**Uncorrected energy**: -6.548 eV/atom
**V**: 57.32 Å³/f.u.

Cell: 5.311 5.311 5.311 Å, 106.96 106.96 114.61°
Positions (direct):
Ti1 0.000 0.000 0.000
Ti2 0.750 0.250 0.500
Ni1 0.250 0.750 0.500
Ni2 0.500 0.500 0.000
P1 0.167 0.625 0.042
P2 0.375 0.417 0.542
P3 0.583 0.125 0.958
P4 0.875 0.833 0.458

The following is a DFT calculation (PBE) of K4HfPa3N8 after structural relaxation.

**E_form (uncorrected)**: -17.4 eV per formula unit
**Uncorrected energy**: -7.929 eV/atom
**V**: 277.81 Å³/f.u.

Cell: 7.623 7.623 7.623 Å, 55.13 55.13 55.13°
Positions (direct):
K1 0.000 0.000 0.000
K2 0.000 0.500 0.500
K3 0.500 0.000 0.500
K4 0.500 0.500 0.000
Hf1 0.500 0.500 0.500
Pa1 0.000 0.000 0.500
Pa2 0.000 0.500 0.000
Pa3 0.500 0.000 0.000
N1 0.221 0.221 0.221
N2 0.226 0.719 0.719
N3 0.281 0.281 0.774
N4 0.281 0.774 0.281
N5 0.719 0.226 0.719
N6 0.719 0.719 0.226
N7 0.774 0.281 0.281
N8 0.779 0.779 0.779

The following is a DFT calculation (PBE) of LuPuMgAu after structural relaxation.

**ΔE_f**: -0.191 eV per atom
**Uncorrected energy**: -6.123 eV/atom
**V**: 97.53 Å³/f.u.

Cell: 5.167 5.167 5.167 Å, 60.00 60.00 60.00°
Positions (direct):
Lu1 0.000 0.000 0.000
Pu1 0.500 0.500 0.500
Mg1 0.750 0.750 0.750
Au1 0.250 0.250 0.250

The following is a DFT calculation (PBE) of Pm2In5Cl12 after structural relaxation.

**E_form (uncorrected)**: -27.2 eV per formula unit
**Uncorrected energy**: -3.817 eV/atom
**V**: 567.41 Å³/f.u.

Cell: 9.529 9.529 7.360 Å, 104.03 104.03 62.28°
Positions (direct):
Pm1 0.248 0.752 0.000
Pm2 0.752 0.248 0.000
In1 0.151 0.151 0.506
In2 0.254 0.254 0.997
In3 0.500 0.500 0.500
In4 0.746 0.746 0.003
In5 0.849 0.849 0.494
Cl1 0.019 0.019 0.794
Cl2 0.025 0.643 0.785
Cl3 0.215 0.594 0.257
Cl4 0.357 0.975 0.215
Cl5 0.406 0.785 0.743
Cl6 0.421 0.421 0.802
Cl7 0.579 0.579 0.198
Cl8 0.594 0.215 0.257
Cl9 0.643 0.025 0.785
Cl10 0.785 0.406 0.743
Cl11 0.975 0.357 0.215
Cl12 0.981 0.981 0.206

The following is a DFT calculation (PBE) of Mn2CoTcN after structural relaxation.

**E_form (uncorrected)**: 0.1 eV per formula unit
**Uncorrected energy**: -8.807 eV/atom
**Polymorph energy (0 for the lowest one)**: 0.000 eV/f.u.
**V**: 55.44 Å³/f.u.

Cell: 3.728 3.728 3.990 Å, 90.00 90.00 90.00°
Positions (direct):
Mn1 0.000 0.500 0.000
Mn2 0.500 0.000 0.000
Co1 0.000 0.000 0.500
Tc1 0.500 0.500 0.500
N1 0.500 0.500 0.000